Computed, not measured: SmAlI after structural relaxation at the PBE level of DFT.

Cell lengths 3.9918, 3.9918, 12.0499 Å; angles 90.00, 90.00, 90.00 degrees
Sites, in units of the cell vectors:
1 Sm 0.2500 0.2500 0.2076
2 Sm 0.7500 0.7500 0.7924
3 Al 0.2500 0.7500 0.0000
4 Al 0.7500 0.2500 0.0000
5 I 0.2500 0.2500 0.6601
6 I 0.7500 0.7500 0.3399

Results
The value obtained for the density of states at the Fermi level is 5.4 states/eV/cell. As for the total energy: -4.032 eV per atom. As for the space group: No. 129. Its total moment is 0.00 μB per formula unit. The calculation puts the uncorrected formation energy at -2.1 eV per formula unit.

***

Computed, not measured: SmTm4Pb5 after structural relaxation at the PBE level of DFT.

Cell lengths 7.6736, 7.6736, 7.6736 Å; angles 99.60, 99.60, 131.79 degrees
Sites, in units of the cell vectors:
1 Sm 0.0000 0.0000 0.0000
2 Tm 0.2003 0.6012 0.8065
3 Tm 0.3938 0.2003 0.5991
4 Tm 0.6012 0.7947 0.4009
5 Tm 0.7947 0.3938 0.1935
6 Pb 0.0957 0.3037 0.4046
7 Pb 0.3037 0.8990 0.2079
8 Pb 0.5002 0.5002 0.0000
9 Pb 0.6911 0.0957 0.7921
10 Pb 0.8990 0.6911 0.5954

Results
The value obtained for the energy above the lowest structure with this stoichiometry is 10.8 kJ per mole of atoms. The value obtained for the density of states at the Fermi level is 8.9 states/eV/cell. For the formation energy, the calculation gives -0.282 eV per atom. As for the total energy: -4.397 eV per atom. As for the space group: No. 79. Its total moment is 0.00 μB per formula unit.

***

Computed, not measured: AuI2F after structural relaxation at the PBE level of DFT.

Cell lengths 4.7593, 7.4019, 7.9849 Å; angles 90.04, 90.03, 100.25 degrees
Sites, in units of the cell vectors:
1 Au 0.0000 0.0000 0.0000
2 Au 0.4995 0.5004 0.3491
3 I 0.2888 0.4490 0.6500
4 I 0.4755 0.2456 0.1012
5 I 0.7888 0.9489 0.6990
6 I 0.9752 0.7457 0.2479
7 F 0.0230 0.1876 0.5587
8 F 0.5165 0.6901 0.7903

Results
The value obtained for the energy above the lowest structure with this stoichiometry is 0.0 kJ per mole of atoms. The value obtained for the density of states at the Fermi level is 0.3 states/eV/cell. As for the total energy: -2.404 eV per atom. As for the space group: No. 1. Its total moment is 0.00 μB per formula unit. The calculation puts the uncorrected formation energy at -1.4 eV per formula unit.

***

Computed, not measured: V2Pd6Au after structural relaxation at the PBE level of DFT.

Cell lengths 8.2897, 6.3143, 6.0717 Å; angles 84.00, 49.25, 46.75 degrees
Sites, in units of the cell vectors:
1 V 0.1664 0.1664 0.8336
2 V 0.8336 0.8336 0.1664
3 Pd 0.1648 0.8352 0.1648
4 Pd 0.1707 0.4872 0.5128
5 Pd 0.4872 0.1707 0.8293
6 Pd 0.5128 0.8293 0.1707
7 Pd 0.8293 0.5128 0.4872
8 Pd 0.8352 0.1648 0.8352
9 Au 0.5000 0.5000 0.5000

Results
The value obtained for the energy above the lowest structure with this stoichiometry is 1.1 kJ per mole of atoms. The value obtained for the density of states at the Fermi level is 5.6 states/eV/cell. For the formation energy, the calculation gives -0.193 eV per atom. As for the total energy: -6.045 eV per atom. As for the space group: No. 69. Its total moment is 3.21 μB per formula unit.

***

Computed, not measured: KBa2Se after structural relaxation at the PBE level of DFT.

Cell lengths 4.1119, 4.1119, 11.6644 Å; angles 90.00, 90.00, 90.00 degrees
Sites, in units of the cell vectors:
1 K 0.0000 0.0000 0.0000
2 Ba 0.5000 0.5000 0.3382
3 Ba 0.5000 0.5000 0.6618
4 Se 0.0000 0.0000 0.5000

Results
The value obtained for the density of states at the Fermi level is 4.0 states/eV/cell. As for the total energy: -2.916 eV per atom. As for the space group: No. 123. Its total moment is 0.00 μB per formula unit. The calculation puts the uncorrected formation energy at -3.2 eV per formula unit.

***

Computed, not measured: LaPaRh after structural relaxation at the PBE level of DFT.

Cell lengths 6.3182, 6.3182, 6.3182 Å; angles 146.93, 146.93, 47.47 degrees
Sites, in units of the cell vectors:
1 La 0.0000 0.0000 0.0000
2 Pa 0.6983 0.6983 0.0000
3 Rh 0.2939 0.2939 0.0000

Results
The value obtained for the energy above the lowest structure with this stoichiometry is 0.0 kJ per mole of atoms. The value obtained for the density of states at the Fermi level is 3.1 states/eV/cell. For the formation energy, the calculation gives -0.461 eV per atom. As for the total energy: -7.719 eV per atom. As for the space group: No. 107. Its total moment is 0.00 μB per formula unit.

***

Computed, not measured: SmGe3Pd2 after structural relaxation at the PBE level of DFT.

Cell lengths 6.2652, 6.2652, 5.9408 Å; angles 90.00, 90.00, 78.29 degrees
Sites, in units of the cell vectors:
1 Sm 0.1652 0.8348 0.7500
2 Sm 0.8348 0.1652 0.2500
3 Ge 0.0553 0.6540 0.2500
4 Ge 0.3460 0.9447 0.2500
5 Ge 0.4712 0.5288 0.2500
6 Ge 0.5288 0.4712 0.7500
7 Ge 0.6540 0.0553 0.7500
8 Ge 0.9447 0.3460 0.7500
9 Pd 0.2755 0.2755 0.0000
10 Pd 0.2755 0.2755 0.5000
11 Pd 0.7245 0.7245 0.0000
12 Pd 0.7245 0.7245 0.5000

Results
The value obtained for the energy above the lowest structure with this stoichiometry is 7.2 kJ per mole of atoms. The value obtained for the density of states at the Fermi level is 6.6 states/eV/cell. For the formation energy, the calculation gives -0.512 eV per atom. As for the total energy: -5.338 eV per atom. As for the space group: No. 63. Its total moment is 0.00 μB per formula unit.

***

Computed, not measured: KPm2ZnTe4 after structural relaxation at the PBE level of DFT.

Cell lengths 8.0613, 8.0613, 15.8568 Å; angles 90.00, 90.00, 148.11 degrees
Sites, in units of the cell vectors:
1 K 0.1155 0.8845 0.7500
2 K 0.8845 0.1155 0.2500
3 Pm 0.3706 0.6294 0.5548
4 Pm 0.3706 0.6294 0.9452
5 Pm 0.6294 0.3706 0.0548
6 Pm 0.6294 0.3706 0.4452
7 Zn 0.1617 0.8383 0.2500
8 Zn 0.8383 0.1617 0.7500
9 Te 0.0000 0.0000 0.0000
10 Te 0.0000 0.0000 0.5000
11 Te 0.2677 0.7323 0.1165
12 Te 0.2677 0.7323 0.3835
13 Te 0.4367 0.5633 0.7500
14 Te 0.5633 0.4367 0.2500
15 Te 0.7323 0.2677 0.6165
16 Te 0.7323 0.2677 0.8835

Results
The value obtained for the density of states at the Fermi level is 6.2 states/eV/cell. As for the total energy: -4.172 eV per atom. As for the space group: No. 63. Its total moment is 0.00 μB per formula unit. The calculation puts the uncorrected formation energy at -8.9 eV per formula unit.

***

Computed, not measured: Ba4SrCo after structural relaxation at the PBE level of DFT.

Cell lengths 7.6903, 7.6903, 7.6903 Å; angles 60.00, 60.00, 60.00 degrees
Sites, in units of the cell vectors:
1 Ba 0.1240 0.1240 0.1240
2 Ba 0.1240 0.1240 0.6280
3 Ba 0.1240 0.6280 0.1240
4 Ba 0.6280 0.1240 0.1240
5 Sr 0.5000 0.5000 0.5000
6 Co 0.7500 0.7500 0.7500

Results
The value obtained for the density of states at the Fermi level is 16.8 states/eV/cell. For the formation energy, the calculation gives 0.806 eV per atom. As for the total energy: -1.940 eV per atom. As for the space group: No. 216. Its total moment is 1.52 μB per formula unit.

***

Computed, not measured: Sr2Ga4Cu3Ge after structural relaxation at the PBE level of DFT.

Cell lengths 4.2925, 4.2925, 10.7411 Å; angles 90.00, 90.00, 90.00 degrees
Sites, in units of the cell vectors:
1 Sr 0.0000 0.5000 0.2470
2 Sr 0.5000 0.0000 0.7530
3 Ga 0.0000 0.0000 0.0000
4 Ga 0.0000 0.5000 0.6400
5 Ga 0.5000 0.0000 0.3600
6 Ga 0.5000 0.5000 0.0000
7 Cu 0.0000 0.5000 0.8724
8 Cu 0.5000 0.0000 0.1276
9 Cu 0.5000 0.5000 0.5000
10 Ge 0.0000 0.0000 0.5000

Results
The value obtained for the density of states at the Fermi level is 5.0 states/eV/cell. For the formation energy, the calculation gives -0.323 eV per atom. As for the total energy: -3.561 eV per atom. As for the space group: No. 115. Its total moment is 0.00 μB per formula unit.